Entry 1:
First-principles (GGA-PBE) data for a geometry-optimized Al2Mo3W3 structure, as listed in OQMD via LeMat-Bulk.

Results
- energy (eV per atom) = -10.019
- SG = Pmm2

Unit cell a=4.958 b=5.021 c=4.990 alpha=90.00 beta=90.00 gamma=90.00
Fractional positions:
Al 0.000 0.000 0.000
Al 0.500 0.500 0.499
Mo 0.000 0.500 0.250
Mo 0.250 0.000 0.500
Mo 0.750 0.000 0.500
W 0.000 0.500 0.750
W 0.500 0.250 0.999
W 0.500 0.750 0.999


Entry 2:
First-principles (GGA-PBE) data for a geometry-optimized AlMoW structure, as listed in OQMD via LeMat-Bulk.

Results
- energy (eV per atom) = -8.488
- SG = F-43m

Unit cell a=4.298 b=4.298 c=4.298 alpha=60.00 beta=60.00 gamma=60.00
Fractional positions:
Al 0.000 0.000 0.000
Mo 0.250 0.250 0.250
W 0.500 0.500 0.500


Entry 3:
First-principles (GGA-PBE) data for a geometry-optimized Al2Mo3W3 structure, as listed in OQMD via LeMat-Bulk.

Results
- energy (eV per atom) = -10.020
- SG = R32

Unit cell a=4.990 b=4.990 c=4.990 alpha=90.00 beta=90.00 gamma=90.00
Fractional positions:
Al 0.250 0.250 0.250
Al 0.750 0.750 0.750
Mo 0.000 0.750 0.250
Mo 0.250 0.000 0.750
Mo 0.750 0.250 0.000
W 0.250 0.500 0.750
W 0.500 0.750 0.250
W 0.750 0.250 0.500


Entry 4:
First-principles (GGA-PBE) data for a geometry-optimized Al8Mo2W structure, as listed in OQMD via LeMat-Bulk.

Results
- energy (eV per atom) = -6.155
- SG = C2/m

Unit cell a=4.956 b=4.956 c=10.081 alpha=100.06 beta=100.06 gamma=43.35
Fractional positions:
Al 0.040 0.040 0.320
Al 0.132 0.132 0.958
Al 0.227 0.227 0.590
Al 0.314 0.314 0.223
Al 0.686 0.686 0.777
Al 0.773 0.773 0.410
Al 0.868 0.868 0.042
Al 0.960 0.960 0.680
Mo 0.405 0.405 0.841
Mo 0.595 0.595 0.159
W 0.500 0.500 0.500


Entry 5:
First-principles (GGA-PBE) data for a geometry-optimized Y2AlMo structure, as listed in OQMD via LeMat-Bulk.

Results
- energy (eV per atom) = -6.678
- SG = F-43m

Unit cell a=4.963 b=4.963 c=4.963 alpha=60.00 beta=60.00 gamma=60.00
Fractional positions:
Y 0.000 0.000 0.000
Y 0.250 0.250 0.250
Al 0.500 0.500 0.500
Mo 0.750 0.750 0.750


Entry 6:
First-principles (GGA-PBE) data for a geometry-optimized YAl2Mo structure, as listed in OQMD via LeMat-Bulk.

Results
- energy (eV per atom) = -6.037
- SG = F-43m

Unit cell a=4.709 b=4.709 c=4.709 alpha=60.00 beta=60.00 gamma=60.00
Fractional positions:
Y 0.000 0.000 0.000
Al 0.500 0.500 0.500
Al 0.750 0.750 0.750
Mo 0.250 0.250 0.250